A plane-wave DFT calculation with PBE-GGA was carried out for a relaxed Sr2TlZn crystal.

Cell: 4.0738 4.0738 8.5109 Å, 90.00 90.00 90.00°
Space group P4mm (No. 99)
One atom of each set of equivalent atoms:
Sr 0.0000 0.0000 0.0000 [1 per cell]
Sr 0.5000 0.5000 0.3811 [1 per cell]
Tl 0.0000 0.0000 0.6069 [1 per cell]
Zn 0.5000 0.5000 0.7984 [1 per cell]

Values from the calculation:
Formation energy ... -0.58 eV/f.u.
N(E_F) ... 0.41 states/eV per atom


A plane-wave DFT calculation with PBE-GGA was carried out for a relaxed PSe2 crystal.

Cell: 4.0977 21.8572 3.3928 Å, 90.00 90.00 90.00°
Space group Cmcm (No. 63)
One atom of each set of equivalent atoms:
P 0.0000 0.1127 0.2500 [4 per cell]
Se 0.0000 0.1839 0.7500 [4 per cell]
Se 0.0000 0.4589 0.2500 [4 per cell]

Values from the calculation:
Distance to the lowest polymorph of the same formula ... 149 meV/atom
N(E_F) ... 0.19 states/eV per atom


A plane-wave DFT calculation with PBE-GGA was carried out for a relaxed ZnF crystal.

Cell: 4.8526 4.8526 4.8526 Å, 90.00 90.00 90.00°
Space group Fm-3m (No. 225)
One atom of each set of equivalent atoms:
Zn 0.0000 0.0000 0.0000 [4 per cell]
F 0.0000 0.0000 0.5000 [4 per cell]

Values from the calculation:
E ... -2.64 eV per atom
N(E_F) ... 0.55 states/eV per atom


A plane-wave DFT calculation with PBE-GGA was carried out for a relaxed TaW4Au crystal.

Cell: 7.4793 7.4793 7.4793 Å, 90.00 90.00 90.00°
Space group F-43m (No. 216)
One atom of each set of equivalent atoms:
Ta 0.0000 0.0000 0.0000 [4 per cell]
W 0.1251 0.1251 0.6251 [16 per cell]
Au 0.2500 0.2500 0.2500 [4 per cell]

Values from the calculation:
Formation energy ... 2.22 eV/f.u.
N(E_F) ... 1.09 states/eV per atom


A plane-wave DFT calculation with PBE-GGA was carried out for a relaxed Zr2ScCd crystal.

Cell: 3.1458 3.1458 32.1398 Å, 90.00 90.00 120.00°
Space group R3m (No. 160, hexagonal axes)
One atom of each set of equivalent atoms:
Zr 0.0000 0.0000 0.0000 [3 per cell]
Zr 0.0000 0.0000 0.1659 [3 per cell]
Sc 0.0000 0.0000 0.5830 [3 per cell]
Cd 0.0000 0.0000 0.4165 [3 per cell]

Values from the calculation:
Formation energy ... 0.07 eV/f.u.
Distance to the lowest polymorph of the same formula ... 137 meV/atom
N(E_F) ... 1.26 states/eV per atom


A plane-wave DFT calculation with PBE-GGA was carried out for a relaxed CuWSe crystal.

Cell: 4.3823 4.3823 2.8184 Å, 90.00 90.00 120.00°
Space group P-6m2 (No. 187)
One atom of each set of equivalent atoms:
Cu 0.0000 0.0000 0.0000 [1 per cell]
W 0.3333 0.6667 0.5000 [1 per cell]
Se 0.6667 0.3333 0.5000 [1 per cell]

Values from the calculation:
Distance to the lowest polymorph of the same formula ... 468 meV/atom
N(E_F) ... 0.40 states/eV per atom


A plane-wave DFT calculation with PBE-GGA was carried out for a relaxed CeAl3Cu crystal.

Cell: 4.2315 4.2315 10.5864 Å, 90.00 90.00 90.00°
Space group I4mm (No. 107)
One atom of each set of equivalent atoms:
Ce 0.0000 0.0000 0.0000 [2 per cell]
Al 0.0000 0.0000 0.4083 [2 per cell]
Al 0.0000 0.5000 0.2506 [4 per cell]
Cu 0.0000 0.0000 0.6330 [2 per cell]

Values from the calculation:
Formation energy ... -2.11 eV/f.u.
Distance to the lowest polymorph of the same formula ... 0 meV/atom
N(E_F) ... 1.25 states/eV per atom


A plane-wave DFT calculation with PBE-GGA was carried out for a relaxed CsIn2AgCl8 crystal.

Cell: 6.7869 6.7869 29.4219 Å, 90.00 90.00 120.00°
Space group R-3 (No. 148, hexagonal axes)
One atom of each set of equivalent atoms:
Cs 0.0000 0.0000 0.0000 [3 per cell]
In 0.0000 0.0000 0.2443 [6 per cell]
Ag 0.0000 0.0000 0.5000 [3 per cell]
Cl 0.0000 0.0000 0.3259 [6 per cell]
Cl 0.0028 0.3254 0.1114 [18 per cell]

Values from the calculation:
E ... -3.15 eV per atom
N(E_F) ... 0.00 states/eV per atom


A plane-wave DFT calculation with PBE-GGA was carried out for a relaxed NiAg2As crystal.

Cell: 2.8427 2.8427 8.2376 Å, 90.00 90.00 90.00°
Space group P4/mmm (No. 123)
One atom of each set of equivalent atoms:
Ni 0.0000 0.0000 0.0000 [1 per cell]
Ag 0.5000 0.5000 0.2213 [2 per cell]
As 0.0000 0.0000 0.5000 [1 per cell]

Values from the calculation:
Formation energy ... 1.08 eV/f.u.
N(E_F) ... 0.85 states/eV per atom


A plane-wave DFT calculation with PBE-GGA was carried out for a relaxed V2AsPb2 crystal.

Cell: 4.2608 4.2608 12.5171 Å, 90.00 90.00 90.00°
Space group I4/mmm (No. 139)
One atom of each set of equivalent atoms:
V 0.0000 0.0000 0.0748 [4 per cell]
As 0.0000 0.0000 0.5000 [2 per cell]
Pb 0.0000 0.5000 0.2500 [4 per cell]

Values from the calculation:
Formation energy ... 3.60 eV/f.u.
Distance to the lowest polymorph of the same formula ... 472 meV/atom
N(E_F) ... 1.03 states/eV per atom


A plane-wave DFT calculation with PBE-GGA was carried out for a relaxed USnRu crystal.

Cell: 3.7476 3.8529 9.3718 Å, 90.00 90.00 90.00°
Space group Amm2 (No. 38)
One atom of each set of equivalent atoms:
U 0.0000 0.0000 0.0000 [2 per cell]
Sn 0.5000 0.0000 0.2856 [2 per cell]
Ru 0.5000 0.0000 0.5733 [2 per cell]

Values from the calculation:
Formation energy ... -0.41 eV/f.u.
N(E_F) ... 1.97 states/eV per atom


A plane-wave DFT calculation with PBE-GGA was carried out for a relaxed ZrTeAs crystal.

Cell: 3.6407 3.6407 10.0300 Å, 90.00 90.00 90.00°
Space group I4mm (No. 107)
One atom of each set of equivalent atoms:
Zr 0.0000 0.0000 0.0000 [2 per cell]
Te 0.0000 0.0000 0.3254 [2 per cell]
As 0.0000 0.0000 0.6181 [2 per cell]

Values from the calculation:
E ... -6.10 eV per atom
N(E_F) ... 0.63 states/eV per atom


Please write out number 8 again, unchanged.
A plane-wave DFT calculation with PBE-GGA was carried out for a relaxed CsIn2AgCl8 crystal.

Cell: 6.7869 6.7869 29.4219 Å, 90.00 90.00 120.00°
Space group R-3 (No. 148, hexagonal axes)
One atom of each set of equivalent atoms:
Cs 0.0000 0.0000 0.0000 [3 per cell]
In 0.0000 0.0000 0.2443 [6 per cell]
Ag 0.0000 0.0000 0.5000 [3 per cell]
Cl 0.0000 0.0000 0.3259 [6 per cell]
Cl 0.0028 0.3254 0.1114 [18 per cell]

Values from the calculation:
E ... -3.15 eV per atom
N(E_F) ... 0.00 states/eV per atom